A relaxed SmYTlCu crystal. Source: Alexandria via LeMat-Bulk, functional PBE.

Cell: 5.2402 5.2402 5.2402 Å, 60.00 60.00 60.00°
Positions (direct):
Sm1 0.0000 0.0000 0.0000
Y1 0.5000 0.5000 0.5000
Tl1 0.7500 0.7500 0.7500
Cu1 0.2500 0.2500 0.2500

Properties
Spin magnetization: 0.04 μB/cell
Energy relative to the elements: -246.2 meV/atom
Calculated volume: 25.44 A^3/atom